Entry 1:
AcLa2Hg after structural relaxation. Source: Alexandria, functional GGA-PBE.

a = 3.9002 Å, b = 3.9002 Å, c = 9.1562 Å
α = 90.00°, β = 90.00°, γ = 90.00°
Space group P4/mmm (No. 123)
Asymmetric unit:
1 Ac 0.0000 0.0000 0.0000
2 La 0.5000 0.5000 0.2857
3 Hg 0.0000 0.0000 0.5000

Properties
- E (eV/atom) = -3.817
- energy above the lowest structure with this stoichiometry (meV per atom) = 0
- energy of formation from the pure elements (eV per atom) = -0.25
- D(E_F) (states/eV/f.u.) = 5.980
- V (A^3/atom) = 34.8

Entry 2:
Tc3PdRu after structural relaxation. Source: Alexandria, functional GGA-PBE.

a = 4.5987 Å, b = 4.5987 Å, c = 4.5987 Å
α = 90.00°, β = 90.00°, γ = 90.00°
Space group Pm-3m (No. 221)
Asymmetric unit:
1 Tc 0.0000 0.0000 0.5000
2 Pd 0.5000 0.5000 0.5000
3 Ru 0.0000 0.0000 0.0000

Properties
- E (eV/atom) = -7.371
- energy above the lowest structure with this stoichiometry (meV per atom) = 0
- energy of formation from the pure elements (eV per atom) = 1.74
- D(E_F) (states/eV/f.u.) = 8.471
- V (A^3/atom) = 19.5

Entry 3:
Tm3Al2Ga after structural relaxation. Source: Alexandria, functional GGA-PBE.

a = 3.5304 Å, b = 3.5304 Å, c = 10.7012 Å
α = 90.00°, β = 90.00°, γ = 90.00°
Space group P4/mmm (No. 123)
Asymmetric unit:
1 Tm 0.0000 0.0000 0.0000
2 Tm 0.0000 0.0000 0.3359
3 Al 0.5000 0.5000 0.1669
4 Ga 0.5000 0.5000 0.5000

Properties
- E (eV/atom) = -4.433
- energy of formation from the pure elements (eV per atom) = -0.45
- D(E_F) (states/eV/f.u.) = 2.732
- V (A^3/atom) = 22.2

Entry 4:
ReWSe after structural relaxation. Source: Alexandria, functional GGA-PBE.

a = 6.0383 Å, b = 6.0383 Å, c = 6.0383 Å
α = 90.00°, β = 90.00°, γ = 90.00°
Space group F-43m (No. 216)
Asymmetric unit:
1 Re 0.0000 0.0000 0.0000
2 W 0.2500 0.2500 0.2500
3 Se 0.2500 0.2500 0.7500

Properties
- E_form (uncorrected) (eV/atom) = 0.601
- E (eV/atom) = -9.028
- energy above the lowest structure with this stoichiometry (meV per atom) = 277
- D(E_F) (states/eV/f.u.) = 3.464
- V (A^3/atom) = 18.3

Entry 5:
CsMg2Pd after structural relaxation. Source: Alexandria, functional GGA-PBE.

a = 7.2618 Å, b = 7.2618 Å, c = 13.5025 Å
α = 90.00°, β = 90.00°, γ = 90.00°
Space group I4_1/amd (No. 141, origin choice 2)
Asymmetric unit:
1 Cs 0.0000 0.2500 0.3750
2 Mg 0.0000 0.0000 0.0000
3 Pd 0.0000 0.2500 0.8750

Properties
- E (eV/atom) = -2.303
- energy above the lowest structure with this stoichiometry (meV per atom) = 0
- energy of formation from the pure elements (eV per atom) = 0.01
- D(E_F) (states/eV/f.u.) = 1.647
- V (A^3/atom) = 44.5

Entry 6:
Ca2CdTc after structural relaxation. Source: Alexandria, functional GGA-PBE.

a = 3.3888 Å, b = 3.3888 Å, c = 8.6737 Å
α = 90.00°, β = 90.00°, γ = 90.00°
Space group P4/mmm (No. 123)
Asymmetric unit:
1 Ca 0.0000 0.0000 0.2199
2 Cd 0.5000 0.5000 0.5000
3 Tc 0.5000 0.5000 0.0000

Properties
- E (eV/atom) = -3.521
- energy of formation from the pure elements (eV per atom) = 0.30
- D(E_F) (states/eV/f.u.) = 3.748
- V (A^3/atom) = 24.9

Entry 7:
LaYZn2In2 after structural relaxation. Source: Alexandria, functional GGA-PBE.

a = 4.7183 Å, b = 4.7183 Å, c = 7.6342 Å
α = 90.00°, β = 90.00°, γ = 120.00°
Space group P-3m1 (No. 164)
Asymmetric unit:
1 La 0.0000 0.0000 0.0000
2 Y 0.0000 0.0000 0.5000
3 Zn 0.3333 0.6667 0.2877
4 In 0.3333 0.6667 0.7327

Properties
- E (eV/atom) = -3.705
- energy of formation from the pure elements (eV per atom) = -0.47
- D(E_F) (states/eV/f.u.) = 3.742
- V (A^3/atom) = 24.5

Entry 8:
GdThScCd after structural relaxation. Source: Alexandria, functional GGA-PBE.

a = 7.6478 Å, b = 7.6478 Å, c = 7.6478 Å
α = 90.00°, β = 90.00°, γ = 90.00°
Space group F-43m (No. 216)
Asymmetric unit:
1 Gd 0.0000 0.0000 0.0000
2 Th 0.0000 0.0000 0.5000
3 Sc 0.2500 0.2500 0.2500
4 Cd 0.2500 0.2500 0.7500

Properties
- E (eV/atom) = -7.180
- energy of formation from the pure elements (eV per atom) = 0.01
- D(E_F) (states/eV/f.u.) = 4.077
- V (A^3/atom) = 28.0

Entry 9:
CaYH3 after structural relaxation. Source: Alexandria, functional GGA-PBE.

a = 4.2225 Å, b = 4.2225 Å, c = 4.2225 Å
α = 90.00°, β = 90.00°, γ = 90.00°
Space group Pm-3m (No. 221)
Asymmetric unit:
1 Ca 0.0000 0.0000 0.0000
2 Y 0.5000 0.5000 0.5000
3 H 0.0000 0.5000 0.5000

Properties
- E (eV/atom) = -4.054
- energy above the lowest structure with this stoichiometry (meV per atom) = 0
- D(E_F) (states/eV/f.u.) = 2.056
- V (A^3/atom) = 15.1

Entry 10:
CeHBr2 after structural relaxation. Source: Alexandria, functional GGA-PBE.

a = 4.0349 Å, b = 4.0349 Å, c = 22.3138 Å
α = 90.00°, β = 90.00°, γ = 120.00°
Space group R3m (No. 160, hexagonal axes)
Asymmetric unit:
1 Ce 0.0000 0.0000 0.0000
2 H 0.0000 0.0000 0.6667
3 Br 0.0000 0.0000 0.2462
4 Br 0.0000 0.0000 0.4204

Properties
- E (eV/atom) = -4.621
- D(E_F) (states/eV/f.u.) = 6.754
- V (A^3/atom) = 26.2

Entry 11:
NaLa2Ni after structural relaxation. Source: Alexandria, functional GGA-PBE.

a = 8.3880 Å, b = 8.3880 Å, c = 7.0029 Å
α = 90.00°, β = 90.00°, γ = 90.00°
Space group I-42d (No. 122)
Asymmetric unit:
1 Na 0.0000 0.0000 0.0000
2 La 0.1761 0.7500 0.6250
3 Ni 0.0000 0.0000 0.5000

Properties
- E (eV/atom) = -4.093
- energy above the lowest structure with this stoichiometry (meV per atom) = 235
- energy of formation from the pure elements (eV per atom) = 0.15
- D(E_F) (states/eV/f.u.) = 5.878
- V (A^3/atom) = 30.8

Entry 12:
LaSi2P6 after structural relaxation. Source: Alexandria, functional GGA-PBE.

a = 10.2031 Å, b = 28.3437 Å, c = 10.4544 Å
α = 90.00°, β = 90.00°, γ = 90.00°
Space group Cmc2_1 (No. 36)
Asymmetric unit:
1 La 0.0000 0.0413 0.0000
2 La 0.0000 0.2342 0.4595
3 La 0.0000 0.3100 0.9783
4 La 0.0000 0.4189 0.5756
5 Si 0.1609 0.0807 0.3979
6 Si 0.1707 0.4337 0.2171
7 Si 0.1717 0.1784 0.1889
8 Si 0.1779 0.1649 0.8560
9 P 0.0000 0.0422 0.2972
10 P 0.0000 0.0774 0.7194
11 P 0.0000 0.1560 0.7220
12 P 0.0000 0.2268 0.1707
13 P 0.0000 0.3171 0.6943
14 P 0.0000 0.3455 0.3670
15 P 0.0000 0.4253 0.9373
16 P 0.0000 0.4693 0.1136
17 P 0.1531 0.0470 0.5964
18 P 0.1543 0.3543 0.2206
19 P 0.1596 0.4582 0.8231
20 P 0.1656 0.2664 0.6885
21 P 0.2008 0.4706 0.4043
22 P 0.2048 0.1567 0.3962
23 P 0.2074 0.1224 0.0376
24 P 0.2082 0.2420 0.8860

Properties
- E_form (uncorrected) (eV/atom) = -0.468
- E (eV/atom) = -5.828
- V (A^3/atom) = 21.0

Entry 13:
MnHgI3 after structural relaxation. Source: Alexandria, functional GGA-PBE.

a = 3.7005 Å, b = 8.3261 Å, c = 19.9689 Å
α = 90.00°, β = 90.00°, γ = 90.00°
Space group Amm2 (No. 38)
Asymmetric unit:
1 Mn 0.0000 0.0000 0.0000
2 Hg 0.5000 0.0000 0.3096
3 I 0.0000 0.0000 0.1329
4 I 0.5000 0.2262 0.9660

Properties
- E_form (uncorrected) (eV/atom) = -0.207
- E (eV/atom) = -3.031
- energy above the lowest structure with this stoichiometry (meV per atom) = 139
- D(E_F) (states/eV/f.u.) = 2.132
- V (A^3/atom) = 61.5

Entry 14:
RbBe2Ge2 after structural relaxation. Source: Alexandria, functional GGA-PBE.

a = 4.1917 Å, b = 4.1917 Å, c = 10.7064 Å
α = 90.00°, β = 90.00°, γ = 90.00°
Space group I4/mmm (No. 139)
Asymmetric unit:
1 Rb 0.0000 0.0000 0.0000
2 Be 0.0000 0.5000 0.2500
3 Ge 0.0000 0.0000 0.3638

Properties
- E (eV/atom) = -3.317
- energy of formation from the pure elements (eV per atom) = 0.21
- D(E_F) (states/eV/f.u.) = 1.439
- V (A^3/atom) = 18.8

Entry 15:
BaSr4Tl4 after structural relaxation. Source: Alexandria, functional GGA-PBE.

a = 10.8463 Å, b = 10.8463 Å, c = 6.7930 Å
α = 90.00°, β = 90.00°, γ = 90.00°
Space group P4_2/n (No. 86, origin choice 2)
Asymmetric unit:
1 Ba 0.2500 0.2500 0.2500
2 Sr 0.0874 0.6518 0.1329
3 Tl 0.0345 0.6057 0.6323

Properties
- E (eV/atom) = -2.249
- energy of formation from the pure elements (eV per atom) = -0.24
- D(E_F) (states/eV/f.u.) = 11.290
- V (A^3/atom) = 44.4

Entry 16:
ZrSc2Cd after structural relaxation. Source: Alexandria, functional GGA-PBE.

a = 4.4065 Å, b = 4.4065 Å, c = 9.3261 Å
α = 90.00°, β = 90.00°, γ = 90.00°
Space group I-4m2 (No. 119)
Asymmetric unit:
1 Zr 0.0000 0.0000 0.0000
2 Sc 0.0000 0.0000 0.5000
3 Sc 0.0000 0.5000 0.2500
4 Cd 0.0000 0.5000 0.7500

Properties
- E (eV/atom) = -5.586
- energy above the lowest structure with this stoichiometry (meV per atom) = 118
- energy of formation from the pure elements (eV per atom) = -0.05
- D(E_F) (states/eV/f.u.) = 6.478
- V (A^3/atom) = 22.6

Entry 17:
TlV3Cr2S8 after structural relaxation. Source: Alexandria, functional GGA-PBE.

a = 17.1629 Å, b = 3.3283 Å, c = 8.7878 Å
α = 90.00°, β = 102.69°, γ = 90.00°
Space group C2/m (No. 12)
Asymmetric unit:
1 Tl 0.0000 0.0000 0.0000
2 V 0.0000 0.5000 0.5000
3 V 0.1446 0.0000 0.4892
4 Cr 0.2048 0.0000 0.8302
5 S 0.0703 0.0000 0.6734
6 S 0.0862 0.5000 0.3183
7 S 0.1693 0.5000 0.9916
8 S 0.2379 0.5000 0.6470

Properties
- E_form (uncorrected) (eV/atom) = -0.813
- E (eV/atom) = -6.669
- D(E_F) (states/eV/f.u.) = 5.091
- V (A^3/atom) = 17.5

Entry 18:
GdHoCuOs after structural relaxation. Source: Alexandria, functional GGA-PBE.

a = 6.8786 Å, b = 6.8786 Å, c = 6.8786 Å
α = 90.00°, β = 90.00°, γ = 90.00°
Space group F-43m (No. 216)
Asymmetric unit:
1 Gd 0.0000 0.0000 0.0000
2 Ho 0.0000 0.0000 0.5000
3 Cu 0.2500 0.2500 0.7500
4 Os 0.2500 0.2500 0.2500

Properties
- E (eV/atom) = -8.734
- energy of formation from the pure elements (eV per atom) = -0.24
- D(E_F) (states/eV/f.u.) = 2.383
- V (A^3/atom) = 20.3

Entry 19:
TcSbBr2 after structural relaxation. Source: Alexandria, functional GGA-PBE.

a = 3.4404 Å, b = 3.4404 Å, c = 30.9449 Å
α = 90.00°, β = 90.00°, γ = 120.00°
Space group R-3m (No. 166, hexagonal axes)
Asymmetric unit:
1 Tc 0.0000 0.0000 0.0000
2 Sb 0.0000 0.0000 0.5000
3 Br 0.0000 0.0000 0.2799

Properties
- E_form (uncorrected) (eV/atom) = 0.323
- E (eV/atom) = -4.136
- energy above the lowest structure with this stoichiometry (meV per atom) = 314
- D(E_F) (states/eV/f.u.) = 3.231
- V (A^3/atom) = 26.4

Entry 20:
CsCaH2SeF after structural relaxation. Source: Alexandria, functional GGA-PBE.

a = 4.6517 Å, b = 4.6858 Å, c = 7.7208 Å
α = 91.51°, β = 106.30°, γ = 118.48°
Space group P1 (No. 1)
Asymmetric unit:
1 Cs 0.0000 0.0000 0.0000
2 Ca 0.9880 0.4983 0.5057
3 H 0.4510 0.2972 0.7278
4 H 0.4986 0.1759 0.6970
5 Se 0.5677 0.7935 0.3725
6 F 0.2105 0.5914 0.8007

Properties
- E (eV/atom) = -4.018
- energy above the lowest structure with this stoichiometry (meV per atom) = 20
- D(E_F) (states/eV/f.u.) = 0.000
- V (A^3/atom) = 23.2

Entry 21:
Ce2HoHg4 after structural relaxation. Source: Alexandria, functional GGA-PBE.

a = 5.1977 Å, b = 5.1977 Å, c = 26.5552 Å
α = 90.00°, β = 90.00°, γ = 120.00°
Space group R-3m (No. 166, hexagonal axes)
Asymmetric unit:
1 Ce 0.0000 0.0000 0.2455
2 Ho 0.0000 0.0000 0.0000
3 Hg 0.0000 0.0000 0.1259
4 Hg 0.0000 0.0000 0.3717

Properties
- E (eV/atom) = -2.749
- energy above the lowest structure with this stoichiometry (meV per atom) = 0
- energy of formation from the pure elements (eV per atom) = -0.23
- D(E_F) (states/eV/f.u.) = 18.881
- V (A^3/atom) = 29.6

Entry 22:
HgBiPb2 after structural relaxation. Source: Alexandria, functional GGA-PBE.

a = 3.5110 Å, b = 5.9802 Å, c = 11.7870 Å
α = 78.84°, β = 89.83°, γ = 89.98°
Space group P-1 (No. 2)
Asymmetric unit:
1 Hg 0.0048 0.2501 0.1338
2 Bi 0.0049 0.8060 0.3546
3 Pb 0.4957 0.2579 0.8906
4 Pb 0.4982 0.7039 0.6150

Properties
- E (eV/atom) = -2.875
- energy above the lowest structure with this stoichiometry (meV per atom) = 13
- energy of formation from the pure elements (eV per atom) = 0.03
- D(E_F) (states/eV/f.u.) = 1.693
- V (A^3/atom) = 30.4

Entry 23:
Sm3HfRh4 after structural relaxation. Source: Alexandria, functional GGA-PBE.

a = 3.3822 Å, b = 3.3822 Å, c = 14.2589 Å
α = 90.00°, β = 90.00°, γ = 90.00°
Space group P4/mmm (No. 123)
Asymmetric unit:
1 Sm 0.0000 0.0000 0.0000
2 Sm 0.0000 0.0000 0.2562
3 Hf 0.0000 0.0000 0.5000
4 Rh 0.5000 0.5000 0.1293
5 Rh 0.5000 0.5000 0.3949

Properties
- E (eV/atom) = -7.446
- energy of formation from the pure elements (eV per atom) = -0.76
- D(E_F) (states/eV/f.u.) = 4.981
- V (A^3/atom) = 20.4